ErTiGe after structural relaxation, computed with PBE.

The structure belongs to space group P4/nmm (No. 129, origin choice 2); the cell edges are 4.0394, 4.0394 and 7.5998 Å and the angles 90.00°, 90.00° and 90.00°. Symmetry generates all atoms from Er at (0.2500, 0.2500, 0.1571), Ti at (0.2500, 0.7500, 0.5000) and Ge at (0.2500, 0.2500, 0.7474).

Its crystal system is tetragonal. The formation enthalpy at 0 K is -699 meV/atom. The final energy is -38.34 eV/cell.